Compound: Nd6As3PbSe2
Source: Alexandria
Functional: PBE-GGA
Structure: relaxed

Cell: 9.6594 9.6594 8.6953 Å, 103.13 103.13 25.62°
With the nearest neighbours (Å) after each atom.
Element x y z (fractional)
Nd 0.0003 0.0003 0.2356  3 As 2.96-3.05, 1 Se 3.10, 2 Pb 3.14
Nd 0.9997 0.9997 0.7644  3 As 2.96-3.05, 1 Se 3.10, 2 Pb 3.14
Nd 0.3282 0.3282 0.4197  3 As 2.96-3.03, 2 Se 3.11, 1 Pb 3.15
Nd 0.3354 0.3354 0.9098  3 As 2.99-3.02, 3 Se 3.05-3.08
Nd 0.6646 0.6646 0.0902  3 As 2.99-3.02, 3 Se 3.05-3.08
Nd 0.6718 0.6718 0.5803  3 As 2.96-3.03, 2 Se 3.11, 1 Pb 3.15
As 0.1665 0.1665 0.3319  6 Nd 2.96-3.05
As 0.5000 0.5000 0.0000  6 Nd 2.96-3.02
As 0.8335 0.8335 0.6681  6 Nd 2.96-3.05
Pb 0.5000 0.5000 0.5000  6 Nd 3.14-3.15
Se 0.1690 0.1690 0.8376  6 Nd 3.05-3.11
Se 0.8310 0.8310 0.1624  6 Nd 3.05-3.11

M_tot: 0.0 μB per cell
energy: -5.92 eV per atom


Compound: Ta4Nb2Ir
Source: Alexandria
Functional: PBE-GGA
Structure: relaxed

Cell: 7.5059 7.5059 7.5059 Å, 142.53 142.53 54.02°
With the nearest neighbours (Å) after each atom.
Element x y z (fractional)
Ta 0.0000 0.5000 0.5000  2 Ir 2.41
Ta 0.1905 0.1905 0.0000  1 Ir 2.55, 1 Nb 2.60
Ta 0.5000 0.0000 0.5000  2 Ir 2.41
Ta 0.8095 0.8095 0.0000  1 Ir 2.55, 1 Nb 2.60
Nb 0.3846 0.3846 0.0000  5 Ta 2.60-2.86
Nb 0.6154 0.6154 0.0000  5 Ta 2.60-2.86
Ir 0.0000 0.0000 0.0000  6 Ta 2.41-2.55

M_tot: 0.0 μB per cell
energy: -9.76 eV per atom


Compound: Na3Er3AlS8
Source: Alexandria
Functional: PBE-GGA
Structure: relaxed

Cell: 8.0999 8.0999 8.0999 Å, 56.78 56.78 56.78°
With the nearest neighbours (Å) after each atom.
Element x y z (fractional)
Na 0.0000 0.5000 0.5000  6 S 2.89-2.91
Na 0.5000 0.0000 0.5000  6 S 2.89-2.91
Na 0.5000 0.5000 0.0000  6 S 2.89-2.91
Er 0.0000 0.0000 0.5000  6 S 2.70-2.72
Er 0.0000 0.5000 0.0000  6 S 2.70-2.72
Er 0.5000 0.0000 0.0000  6 S 2.70-2.72
Al 0.5000 0.5000 0.5000  6 S 2.49
S 0.2422 0.2422 0.2422  3 Er 2.70, 3 Na 2.89
S 0.2627 0.7233 0.7233  1 Al 2.49, 2 Er 2.72
S 0.2767 0.2767 0.7373  1 Al 2.49, 2 Er 2.72
S 0.2767 0.7373 0.2767  1 Al 2.49, 2 Er 2.72
S 0.7233 0.2627 0.7233  1 Al 2.49, 2 Er 2.72
S 0.7233 0.7233 0.2627  1 Al 2.49, 2 Er 2.72
S 0.7373 0.2767 0.2767  1 Al 2.49, 2 Er 2.72
S 0.7578 0.7578 0.7578  3 Er 2.70, 3 Na 2.89

M_tot: 0.0 μB per cell
energy: -5.18 eV per atom


Compound: AlCoSi2
Source: Alexandria
Functional: PBE-GGA
Structure: relaxed

Cell: 5.7983 5.7983 5.7983 Å, 154.21 138.90 49.16°
With the nearest neighbours (Å) after each atom.
Element x y z (fractional)
Al 0.0000 0.0000 0.0000  4 Co 2.41, 2 Al 2.59
Co 0.5000 0.5000 0.0000  4 Si 2.39, 4 Al 2.41, 2 Co 2.59
Si 0.3097 0.8097 0.5000  2 Co 2.39, 2 Si 2.59
Si 0.6903 0.1903 0.5000  2 Co 2.39, 2 Si 2.59

M_tot: 0.0 μB per cell
energy: -5.55 eV per atom


- energy of number 3 (Na3Er3AlS8)?
  -5.18 eV per atom


What did the second record say?
Compound: Ta4Nb2Ir
Source: Alexandria
Functional: PBE-GGA
Structure: relaxed

Cell: 7.5059 7.5059 7.5059 Å, 142.53 142.53 54.02°
With the nearest neighbours (Å) after each atom.
Element x y z (fractional)
Ta 0.0000 0.5000 0.5000  2 Ir 2.41
Ta 0.1905 0.1905 0.0000  1 Ir 2.55, 1 Nb 2.60
Ta 0.5000 0.0000 0.5000  2 Ir 2.41
Ta 0.8095 0.8095 0.0000  1 Ir 2.55, 1 Nb 2.60
Nb 0.3846 0.3846 0.0000  5 Ta 2.60-2.86
Nb 0.6154 0.6154 0.0000  5 Ta 2.60-2.86
Ir 0.0000 0.0000 0.0000  6 Ta 2.41-2.55

M_tot: 0.0 μB per cell
energy: -9.76 eV per atom